Material: K2HgSb2
Method: DFT, GGA-PBE
State: optimized geometry

Structure (POSCAR):
```
K2HgSb2
1.0
7.8432 0.0000 0.0000
0.0000 7.8432 0.0000
0.0000 0.0000 5.6703
K Hg Sb
4 2 4
direct
0.1683 0.3317 0.0000
0.3317 0.8317 0.0000
0.6683 0.1683 0.0000
0.8317 0.6683 0.0000
0.0000 0.0000 0.5000
0.5000 0.5000 0.5000
0.1332 0.6332 0.5000
0.3668 0.1332 0.5000
0.6332 0.8668 0.5000
0.8668 0.3668 0.5000
```

Calculated values
- E_form (uncorrected) (eV per formula unit) = -1.6
- energy above the most stable polymorph in this dataset (eV/atom) = 0.044